Record 1
Crystalline CaSc2Ni at its relaxed geometry. Source: Alexandria via LeMat-Bulk, functional PBE.

Summary:
VASP energy (eV per cell): -55.3
Total magnetization (μB/cell): 0.0
Formation enthalpy at 0 K (meV per atom): 504

abc: 3.2454 3.2454 31.7791
angles: 90.00 90.00 120.00
Space group R-3m (No. 166, hexagonal axes)
One atom of each set of equivalent atoms:
Ca1 0.0000 0.0000 0.0000 (multiplicity 3)
Sc1 0.0000 0.0000 0.4263 (multiplicity 6)
Ni1 0.0000 0.0000 0.5000 (multiplicity 3)

***

Record 2
Crystalline CaSc2Ni at its relaxed geometry. Source: Alexandria via LeMat-Bulk, functional PBE.

Summary:
VASP energy (eV per cell): -38.9
Total magnetization (μB/cell): 2.9
Formation enthalpy at 0 K (meV per atom): 247

abc: 4.218 4.218 10.087
angles: 90.00 90.00 90.00
Space group I4/mmm (No. 139)
One atom of each set of equivalent atoms:
Ca1 0.000 0.000 0.000 (multiplicity 2)
Sc1 0.000 0.500 0.250 (multiplicity 4)
Ni1 0.000 0.000 0.500 (multiplicity 2)

***

Record 3
Crystalline Ca2Sc2Ni at its relaxed geometry. Source: Alexandria via LeMat-Bulk, functional PBE.

Summary:
VASP energy (eV per cell): -43.8
Total magnetization (μB/cell): 1.4
Formation enthalpy at 0 K (meV per atom): 105

abc: 6.818 6.818 5.780
angles: 90.00 90.00 90.00
Space group P4/mbm (No. 127)
One atom of each set of equivalent atoms:
Ca1 0.178 0.322 0.000 (multiplicity 4)
Sc1 0.163 0.663 0.500 (multiplicity 4)
Ni1 0.000 0.000 0.500 (multiplicity 2)

***

Record 4
Crystalline CaSc2Ni at its relaxed geometry. Source: Alexandria via LeMat-Bulk, functional PBE.

Summary:
VASP energy (eV per cell): -21.0
Total magnetization (μB/cell): 0.0
Formation enthalpy at 0 K (meV per atom): -132

abc: 3.274 3.274 8.792
angles: 90.00 90.00 90.00
Space group P4/mmm (No. 123)
One atom of each set of equivalent atoms:
Ca1 0.000 0.000 0.000 (multiplicity 1)
Sc1 0.500 0.500 0.330 (multiplicity 2)
Ni1 0.000 0.000 0.500 (multiplicity 1)

***

Record 5
Crystalline Ca2ScNi at its relaxed geometry. Source: Alexandria via LeMat-Bulk, functional PBE.

Summary:
VASP energy (eV per cell): -29.7
Total magnetization (μB/cell): 0.0
Formation enthalpy at 0 K (meV per atom): 316

abc: 4.412 4.412 10.206
angles: 90.00 90.00 90.00
Space group I4/mmm (No. 139)
One atom of each set of equivalent atoms:
Ca1 0.000 0.500 0.250 (multiplicity 4)
Sc1 0.000 0.000 0.000 (multiplicity 2)
Ni1 0.000 0.000 0.500 (multiplicity 2)

***

Record 6
Crystalline CaSc2Ni at its relaxed geometry. Source: Alexandria via LeMat-Bulk, functional PBE.

Summary:
VASP energy (eV per cell): -20.8
Total magnetization (μB/cell): 1.0
Formation enthalpy at 0 K (meV per atom): -78

abc: 3.367 3.367 8.167
angles: 90.00 90.00 90.00
Space group P4mm (No. 99)
One atom of each set of equivalent atoms:
Ca1 0.000 0.000 0.000 (multiplicity 1)
Sc1 0.000 0.000 0.611 (multiplicity 1)
Sc2 0.500 0.500 0.344 (multiplicity 1)
Ni1 0.500 0.500 0.759 (multiplicity 1)

***

Record 7
Crystalline CaSc2Ni at its relaxed geometry. Source: Alexandria via LeMat-Bulk, functional PBE.

Summary:
VASP energy (eV per cell): -77.9
Total magnetization (μB/cell): 0.0
Formation enthalpy at 0 K (meV per atom): 243

abc: 7.054 7.054 7.054
angles: 90.00 90.00 90.00
Space group F-43m (No. 216)
One atom of each set of equivalent atoms:
Ca1 0.000 0.000 0.000 (multiplicity 4)
Sc1 0.000 0.000 0.500 (multiplicity 4)
Sc2 0.250 0.250 0.750 (multiplicity 4)
Ni1 0.250 0.250 0.250 (multiplicity 4)

***

Record 8
Crystalline SrCa2ScNi at its relaxed geometry. Source: Alexandria via LeMat-Bulk, functional PBE.

Summary:
VASP energy (eV per cell): -17.9
Total magnetization (μB/cell): 0.0
Formation enthalpy at 0 K (meV per atom): -11

abc: 5.664 5.664 5.055
angles: 90.00 90.00 90.00
Space group P4/mmm (No. 123)
One atom of each set of equivalent atoms:
Sr1 0.000 0.000 0.000 (multiplicity 1)
Ca1 0.000 0.500 0.500 (multiplicity 2)
Sc1 0.500 0.500 0.000 (multiplicity 1)
Ni1 0.500 0.500 0.500 (multiplicity 1)

***

Record 9
Crystalline CaY2ScNi at its relaxed geometry. Source: Alexandria via LeMat-Bulk, functional PBE.

Summary:
VASP energy (eV per cell): -27.3
Total magnetization (μB/cell): 0.0
Formation enthalpy at 0 K (meV per atom): -53

abc: 5.386 5.386 5.070
angles: 90.00 90.00 90.00
Space group P4/mmm (No. 123)
One atom of each set of equivalent atoms:
Ca1 0.000 0.000 0.000 (multiplicity 1)
Y1 0.000 0.500 0.500 (multiplicity 2)
Sc1 0.500 0.500 0.000 (multiplicity 1)
Ni1 0.500 0.500 0.500 (multiplicity 1)

***

Record 10
Crystalline CaYSc2Ni at its relaxed geometry. Source: Alexandria via LeMat-Bulk, functional PBE.

Summary:
VASP energy (eV per cell): -27.1
Total magnetization (μB/cell): 0.0
Formation enthalpy at 0 K (meV per atom): -44

abc: 5.093 5.093 5.299
angles: 90.00 90.00 90.00
Space group P4/mmm (No. 123)
One atom of each set of equivalent atoms:
Ca1 0.000 0.000 0.000 (multiplicity 1)
Y1 0.500 0.500 0.000 (multiplicity 1)
Sc1 0.000 0.500 0.500 (multiplicity 2)
Ni1 0.500 0.500 0.500 (multiplicity 1)

***

Record 11
Crystalline CaScZnNi at its relaxed geometry. Source: Alexandria via LeMat-Bulk, functional PBE.

Summary:
VASP energy (eV per cell): -64.3
Total magnetization (μB/cell): 0.0
Formation enthalpy at 0 K (meV per atom): -172

abc: 6.773 6.773 6.773
angles: 90.00 90.00 90.00
Space group F-43m (No. 216)
One atom of each set of equivalent atoms:
Ca1 0.000 0.000 0.000 (multiplicity 4)
Sc1 0.000 0.000 0.500 (multiplicity 4)
Zn1 0.250 0.250 0.250 (multiplicity 4)
Ni1 0.250 0.250 0.750 (multiplicity 4)

***

Record 12
Crystalline CaNiSe2 at its relaxed geometry. Source: Alexandria via LeMat-Bulk, functional PBE.

Summary:
VASP energy (eV per cell): -74.6
Formation energy from raw total energies (eV per atom): -0.9732
Total magnetization (μB/cell): 0.0

abc: 16.080 4.194 6.353
angles: 90.00 112.77 90.00
Space group Cm (No. 8)
One atom of each set of equivalent atoms:
Ca1 0.000 0.000 0.000 (multiplicity 2)
Ca2 0.248 0.500 0.791 (multiplicity 2)
Ni1 0.052 0.000 0.536 (multiplicity 2)
Ni2 0.450 0.000 0.492 (multiplicity 2)
Se1 0.077 0.500 0.387 (multiplicity 2)
Se2 0.161 0.000 0.925 (multiplicity 2)
Se3 0.375 0.000 0.752 (multiplicity 2)
Se4 0.398 0.500 0.323 (multiplicity 2)